No. 1
Entry from Alexandria via LeMat-Bulk: AcCuSiPt6 after structural relaxation (PBE).

The mass density is 13.58 g cm⁻³. For the total energy, the calculation gives -53.2 eV per formula unit. Its space group is No. 74. Its uncorrected formation energy is -0.37 eV per atom.

POSCAR file:
```
AcCuSiPt6
1.0
-5.718 4.031 -2.320
-5.171 -6.988 0.605
4.229 2.843 6.224
Cu Pt Si Ac
2 12 2 2
Cartesian
-0.745 3.437 1.952 Cu
2.115 1.421 3.112 Cu
-4.366 0.509 -0.063 Pt
0.596 0.130 4.600 Pt
-5.008 -1.575 3.764 Pt
-7.257 -0.244 -0.090 Pt
-4.506 3.472 -0.412 Pt
-2.294 -0.623 4.572 Pt
-4.403 -2.256 1.067 Pt
-2.516 4.829 2.884 Pt
-4.144 -4.943 1.626 Pt
-2.257 2.142 3.442 Pt
-1.653 1.461 0.746 Pt
-2.154 -3.587 4.921 Pt
-2.859 2.015 -1.160 Si
-5.445 -1.479 -0.857 Si
-1.651 -1.345 1.731 Ac
-5.010 1.231 2.778 Ac
```

=====

No. 2
Entry from Alexandria via LeMat-Bulk: ScTc2Hg after structural relaxation (PBE).

The mass density is 10.37 g cm⁻³. For the total energy, the calculation gives -27.1 eV per formula unit. The value obtained for the energy relative to the elements is 0.057 eV per atom. Its space group is No. 6.

POSCAR file:
```
ScTc2Hg
1.0
-1.484 3.728 -0.588
-1.013 -0.831 -2.709
-5.824 -2.281 0.243
Sc Tc Hg
1 2 1
Cartesian
-6.021 -0.539 -2.204 Sc
-0.149 -0.062 -0.020 Tc
-2.157 1.211 -0.864 Tc
-3.413 -1.548 -1.200 Hg
```

=====

No. 3
Entry from Alexandria via LeMat-Bulk: YFe2Tc after structural relaxation (PBE).

The mass density is 7.69 g cm⁻³. For the total energy, the calculation gives -32.1 eV per formula unit. The value obtained for the energy relative to the elements is 0.406 eV per atom. Its space group is No. 47.

POSCAR file:
```
YFe2Tc
1.0
3.371 0.000 0.000
0.000 4.430 0.000
0.000 0.000 4.320
Y Tc Fe
1 1 2
Cartesian
0.000 2.215 2.160 Y
1.685 0.000 2.160 Tc
0.000 0.000 0.000 Fe
1.685 2.215 0.000 Fe
```

=====

No. 4
Entry from Alexandria via LeMat-Bulk: KGaSn after structural relaxation (PBE).

The mass density is 3.60 g cm⁻³. For the total energy, the calculation gives -8.4 eV per formula unit. The value obtained for the energy relative to the elements is -0.087 eV per atom. Its space group is No. 62.

POSCAR file:
```
KGaSn
1.0
-5.273 -0.133 4.518
2.045 -2.918 2.301
6.223 10.331 7.568
Ga K Sn
4 4 4
Cartesian
-2.601 -0.689 7.303 Ga
1.184 1.285 6.441 Ga
5.596 7.968 7.085 Ga
1.810 5.994 7.946 Ga
-2.068 2.769 7.303 K
5.063 4.511 7.084 K
3.674 6.516 10.861 K
-0.679 0.764 3.527 K
6.830 7.887 9.794 Sn
1.365 3.126 8.614 Sn
1.629 4.154 5.773 Sn
-3.835 -0.608 4.593 Sn
```

=====

No. 5
Entry from Alexandria via LeMat-Bulk: Ac2La3Mg after structural relaxation (PBE).

The mass density is 6.63 g cm⁻³. For the total energy, the calculation gives -24.5 eV per formula unit. The value obtained for the energy relative to the elements is 0.014 eV per atom. Its space group is No. 65.

POSCAR file:
```
Ac2La3Mg
1.0
-0.962 -2.763 4.485
3.378 -3.742 -1.581
4.239 5.690 4.414
Ac La Mg
2 3 1
Cartesian
3.636 -0.617 0.400 Ac
3.981 2.565 2.433 Ac
1.208 -3.253 1.452 La
5.201 -0.680 3.893 La
1.454 -0.135 3.426 La
0.000 0.000 0.000 Mg
```

=====

No. 6
Entry from Alexandria via LeMat-Bulk: PuThSnPd after structural relaxation (PBE).

The mass density is 12.24 g cm⁻³. For the total energy, the calculation gives -32.1 eV per formula unit. The value obtained for the energy relative to the elements is -0.281 eV per atom. Its space group is No. 216.

POSCAR file:
```
PuThSnPd
1.0
5.124 0.000 0.000
2.562 4.438 0.000
2.562 1.479 4.184
Sn Pd Th Pu
1 1 1 1
Cartesian
5.124 2.958 2.092 Sn
2.562 1.479 1.046 Pd
0.000 0.000 0.000 Th
7.686 4.438 3.138 Pu
```

=====

No. 7
Entry from Alexandria via LeMat-Bulk: Pm2GaSb3Rh4 after structural relaxation (PBE).

The mass density is 9.13 g cm⁻³. For the total energy, the calculation gives -62.6 eV per formula unit. Its space group is No. 115. Its uncorrected formation energy is -0.83 eV per atom.

POSCAR file:
```
Pm2GaSb3Rh4
1.0
-0.454 0.580 4.331
1.612 -4.025 0.708
9.906 4.053 0.495
Rh Sb Ga Pm
4 3 1 2
Cartesian
0.579 -1.723 2.520 Rh
5.969 2.825 2.475 Rh
0.000 0.000 0.000 Rh
4.515 -0.495 0.539 Rh
8.326 3.789 2.593 Sb
2.159 -1.459 0.422 Sb
4.953 2.027 0.248 Sb
5.532 0.304 2.767 Ga
2.334 1.338 2.294 Pm
8.150 0.992 0.721 Pm
```

=====

No. 8
Entry from Alexandria via LeMat-Bulk: KSrY2Ir after structural relaxation (PBE).

The mass density is 4.42 g cm⁻³. For the total energy, the calculation gives -25.4 eV per formula unit. The value obtained for the energy relative to the elements is -0.165 eV per atom. Its space group is No. 123.

POSCAR file:
```
KSrY2Ir
1.0
-4.560 -2.970 -0.819
2.471 -2.651 -4.143
2.060 -4.252 3.949
Ir K Sr Y
1 1 1 2
Cartesian
0.000 0.000 0.000 Ir
-0.015 -4.937 -0.506 K
1.030 -2.126 1.975 Sr
-2.280 -1.485 -0.410 Y
1.235 -1.325 -2.071 Y
```